No. 1
## La8Ge3PdBr4 (PBE-GGA)

Data for a relaxed structure of La8Ge3PdBr4.

Values from the calculation:
Volume: 486.1 Å³/cell
M_tot: 0.000 μB per atom
E_form (uncorrected): -1.176 eV/atom
Space group: R-3m, No. 166

a = 8.837 Å, b = 8.814 Å, c = 8.837 Å
α = 120.09°, β = 120.00°, γ = 90.00°
Atoms (fractional coordinates):
La (0.259, 0.276, 0.018)
La (0.759, 0.276, 0.018)
La (0.741, 0.724, 0.982)
La (0.258, 0.274, 0.516)
La (0.742, 0.726, 0.484)
La (0.241, 0.724, 0.982)
La (0.241, 0.724, 0.483)
La (0.759, 0.276, 0.517)
Br (0.500, 0.000, 0.000)
Br (0.000, 0.000, 0.000)
Br (0.000, 0.000, 0.500)
Br (0.500, 0.000, 0.500)
Ge (0.500, 0.500, 0.000)
Ge (0.500, 0.500, 0.500)
Ge (0.000, 0.500, 0.500)
Pd (0.000, 0.500, 0.000)

---

No. 2
## FeOsAu2 (PBE-GGA)

Data for a relaxed structure of FeOsAu2.

Values from the calculation:
Volume: 61.2 Å³/cell
M_tot: 0.000 μB per atom
DFT formation energy: 846 meV per atom
Space group: Fm-3m, No. 225
Polymorph energy (0 for the lowest one): 2.40 eV/f.u.

a = 4.423 Å, b = 4.423 Å, c = 4.423 Å
α = 60.00°, β = 60.00°, γ = 60.00°
Atoms (fractional coordinates):
Fe (0.000, 0.000, 0.000)
Os (0.500, 0.500, 0.500)
Au (0.750, 0.750, 0.750)
Au (0.250, 0.250, 0.250)

---

No. 3
## ZrTl4Os (PBE-GGA)

Data for a relaxed structure of ZrTl4Os.

Values from the calculation:
Volume: 148.5 Å³/cell
M_tot: 0.297 μB per atom
DFT formation energy: 1121 meV per atom
Space group: F-43m, No. 216

a = 5.944 Å, b = 5.944 Å, c = 5.944 Å
α = 60.00°, β = 60.00°, γ = 60.00°
Site moments in Bohr magnetons follow the coordinates.
Atoms (fractional coordinates):
Os (0.000, 0.000, 0.000)  1.48
Tl (0.375, 0.375, 0.375)  0.02
Tl (0.375, 0.375, 0.876)  0.02
Tl (0.375, 0.876, 0.375)  0.02
Tl (0.876, 0.375, 0.375)  0.02
Zr (0.750, 0.750, 0.750)  0.07

---

No. 4
## TmSc5Sn6 (PBE-GGA)

Data for a relaxed structure of TmSc5Sn6.

Values from the calculation:
Volume: 290.4 Å³/cell
M_tot: 0.000 μB per atom
DFT formation energy: -552 meV per atom
Space group: C2/m, No. 12

a = 8.921 Å, b = 5.386 Å, c = 7.161 Å
α = 67.91°, β = 81.07°, γ = 65.62°
Atoms (fractional coordinates):
Sc (0.500, 0.500, 0.000)
Sc (0.500, 0.837, 0.326)
Sc (0.000, 0.330, 0.340)
Sc (0.500, 0.163, 0.674)
Sc (0.000, 0.670, 0.660)
Sn (0.249, 0.266, 0.000)
Sn (0.256, 0.910, 0.661)
Sn (0.744, 0.429, 0.661)
Sn (0.744, 0.090, 0.339)
Sn (0.256, 0.571, 0.339)
Sn (0.751, 0.734, 0.000)
Tm (0.000, 0.000, 0.000)

---

No. 5
## LiZr2Pb (PBE-GGA)

Data for a relaxed structure of LiZr2Pb.

Values from the calculation:
Volume: 85.2 Å³/cell
M_tot: 0.000 μB per atom
DFT formation energy: -106 meV per atom
Space group: P4/mmm, No. 123

a = 4.306 Å, b = 4.306 Å, c = 4.595 Å
α = 90.00°, β = 90.00°, γ = 90.00°
Atoms (fractional coordinates):
Zr (0.500, 0.500, 0.000)
Zr (0.000, 0.000, 0.000)
Li (0.500, 0.000, 0.500)
Pb (0.000, 0.500, 0.500)

---

No. 6
## Ca2CoSi (PBE-GGA)

Data for a relaxed structure of Ca2CoSi.

Values from the calculation:
Volume: 93.3 Å³/cell
M_tot: 0.000 μB per atom
E_form (uncorrected): -0.250 eV/atom
Space group: Amm2, No. 38

a = 3.958 Å, b = 4.506 Å, c = 5.696 Å
α = 66.69°, β = 90.00°, γ = 90.00°
Atoms (fractional coordinates):
Ca (0.500, 0.269, 0.337)
Ca (0.000, 0.983, 0.909)
Si (0.500, 0.575, 0.724)
Co (0.000, 0.673, 0.529)

---

No. 7
## TbPr2Tl2Ag2 (PBE-GGA)

Data for a relaxed structure of TbPr2Tl2Ag2.

Values from the calculation:
Volume: 194.2 Å³/cell
M_tot: 0.001 μB per atom
DFT formation energy: -198 meV per atom
Space group: R-3m, No. 166

a = 4.923 Å, b = 4.923 Å, c = 9.677 Å
α = 75.26°, β = 75.26°, γ = 60.00°
Atoms (fractional coordinates):
Tl (0.736, 0.736, 0.792)
Tl (0.264, 0.264, 0.208)
Pr (0.876, 0.876, 0.373)
Pr (0.124, 0.124, 0.627)
Ag (0.389, 0.389, 0.832)
Ag (0.611, 0.611, 0.168)
Tb (0.000, 0.000, 0.000)

---

No. 8
## Ca2CeIn3 (PBE-GGA)

Data for a relaxed structure of Ca2CeIn3.

Values from the calculation:
Volume: 171.0 Å³/cell
M_tot: 0.153 μB per atom
DFT formation energy: -415 meV per atom
Space group: P4/mmm, No. 123
Polymorph energy (0 for the lowest one): 0.00 eV/f.u.

a = 3.672 Å, b = 3.672 Å, c = 12.679 Å
α = 90.00°, β = 90.00°, γ = 90.00°
Site moments in Bohr magnetons follow the coordinates.
Atoms (fractional coordinates):
Ca (0.500, 0.500, 0.163)  -0.01
Ca (0.500, 0.500, 0.837)  -0.01
Ce (0.500, 0.500, 0.500)  0.78
In (0.000, 0.000, 0.000)  0.01
In (0.000, 0.000, 0.669)  -0.01
In (0.000, 0.000, 0.331)  -0.01

---

No. 9
## BaLaBr5 (PBE-GGA)

Data for a relaxed structure of BaLaBr5.

Values from the calculation:
Volume: 1129.4 Å³/cell
M_tot: 0.000 μB per atom
E_form (uncorrected): -2.046 eV/atom
Space group: Pnma, No. 62
Polymorph energy (0 for the lowest one): 0.15 eV/f.u.

a = 7.826 Å, b = 11.569 Å, c = 12.474 Å
α = 90.00°, β = 90.00°, γ = 90.00°
Atoms (fractional coordinates):
Br (0.998, 0.513, 0.359)
Br (0.996, 0.169, 0.514)
Br (0.004, 0.669, 0.986)
Br (0.496, 0.669, 0.986)
Br (0.002, 0.013, 0.141)
Br (0.504, 0.331, 0.014)
Br (0.002, 0.487, 0.641)
Br (0.004, 0.831, 0.486)
Br (0.998, 0.987, 0.859)
Br (0.750, 0.762, 0.233)
Br (0.498, 0.013, 0.141)
Br (0.502, 0.513, 0.359)
Br (0.750, 0.738, 0.733)
Br (0.250, 0.262, 0.267)
Br (0.496, 0.831, 0.486)
Br (0.498, 0.487, 0.641)
Br (0.502, 0.987, 0.859)
Br (0.250, 0.238, 0.767)
Br (0.996, 0.331, 0.014)
Br (0.504, 0.169, 0.514)
La (0.750, 0.861, 0.013)
La (0.250, 0.361, 0.487)
La (0.750, 0.639, 0.513)
La (0.250, 0.139, 0.987)
Ba (0.250, 0.990, 0.643)
Ba (0.750, 0.490, 0.857)
Ba (0.750, 0.010, 0.357)
Ba (0.250, 0.510, 0.143)

---

No. 10
## Ba3Pd2Pb4 (PBE-GGA)

Data for a relaxed structure of Ba3Pd2Pb4.

Values from the calculation:
Volume: 297.0 Å³/cell
M_tot: 0.000 μB per atom
DFT formation energy: -530 meV per atom
Space group: C2/m, No. 12
Polymorph energy (0 for the lowest one): 0.00 eV/f.u.

a = 5.162 Å, b = 6.539 Å, c = 9.876 Å
α = 102.98°, β = 90.00°, γ = 113.25°
Atoms (fractional coordinates):
Ba (0.611, 0.221, 0.693)
Ba (0.000, 0.000, 0.000)
Ba (0.389, 0.779, 0.307)
Pb (0.718, 0.435, 0.081)
Pb (0.282, 0.565, 0.919)
Pb (0.121, 0.241, 0.419)
Pb (0.879, 0.759, 0.581)
Pd (0.680, 0.361, 0.348)
Pd (0.320, 0.639, 0.652)

---

No. 11
## AcThTlGa (PBE-GGA)

Data for a relaxed structure of AcThTlGa.

Values from the calculation:
Volume: 120.4 Å³/cell
M_tot: 0.000 μB per atom
DFT formation energy: -230 meV per atom
Space group: F-43m, No. 216

a = 5.542 Å, b = 5.542 Å, c = 5.542 Å
α = 60.00°, β = 60.00°, γ = 60.00°
Atoms (fractional coordinates):
Ac (0.500, 0.500, 0.500)
Th (0.000, 0.000, 0.000)
Tl (0.750, 0.750, 0.750)
Ga (0.250, 0.250, 0.250)

---

No. 12
## Tb4NdSm2Ho (PBE-GGA)

Data for a relaxed structure of Tb4NdSm2Ho.

Values from the calculation:
Volume: 539.1 Å³/cell
M_tot: 0.365 μB per atom
DFT formation energy: 416 meV per atom
Space group: Imma, No. 74

a = 9.540 Å, b = 9.540 Å, c = 11.842 Å
α = 128.37°, β = 128.37°, γ = 88.41°
Site moments in Bohr magnetons follow the coordinates.
Atoms (fractional coordinates):
Tb (0.254, 0.748, 0.500)  0.26
Tb (0.750, 0.751, 0.998)  0.28
Tb (0.250, 0.249, 0.002)  0.28
Tb (0.749, 0.750, 0.502)  0.28
Tb (0.746, 0.252, 0.500)  0.26
Tb (0.752, 0.246, 0.000)  0.26
Tb (0.248, 0.754, 0.000)  0.26
Tb (0.251, 0.250, 0.498)  0.28
Sm (0.500, 0.500, 0.000)  0.24
Sm (0.500, 0.000, 0.000)  0.19
Sm (0.500, 0.000, 0.500)  0.19
Sm (0.000, 0.000, 0.500)  0.24
Nd (0.000, 0.500, 0.000)  0.20
Nd (0.000, 0.500, 0.500)  0.20
Ho (0.000, 0.000, 0.000)  0.28
Ho (0.500, 0.500, 0.500)  0.28